Record 1
DFT (PBEsol) results for Y2CuSe after structural relaxation.

Cell lengths 3.989, 3.989, 5.742 Å; angles 90.00, 90.00, 90.00 degrees
Space group P4/mmm (No. 123)
Unique sites:
Y 0.000 0.000 0.000 x1
Y 0.500 0.500 0.500 x1
Cu 0.000 0.000 0.500 x1
Se 0.500 0.500 0.000 x1

Summary:
Energy above the most stable polymorph in this dataset   0.0215 eV/atom
Formation energy (no corrections)   -363 kJ/mol of formula units

---

Record 2
DFT (PBEsol) results for CaHg5 after structural relaxation.

Cell lengths 10.352, 4.440, 6.571 Å; angles 90.00, 111.72, 90.00 degrees
Space group C2/m (No. 12)
Unique sites:
Ca 0.000 0.000 0.000 x2
Hg 0.000 0.000 0.500 x2
Hg 0.162 0.500 0.829 x4
Hg 0.171 0.500 0.339 x4

Summary:
Energy above the most stable polymorph in this dataset   0.0068 eV/atom
ΔH_f (0 K)   -0.3043 eV/atom

---

Record 3
DFT (PBEsol) results for Bi3IO after structural relaxation.

Cell lengths 5.899, 5.899, 5.899 Å; angles 90.00, 90.00, 90.00 degrees
Space group Pm-3m (No. 221)
Unique sites:
Bi 0.000 0.000 0.500 x3
I 0.000 0.000 0.000 x1
O 0.500 0.500 0.500 x1

Summary:
Formation energy (no corrections)   723 kJ/mol of formula units